{"formula": "SrLiZn2", "functional": "GGA-PBEsol", "state": "relaxed", "rho_g_cm3": 4.13, "relative_energy_mev_per_atom": 146.4, "spacegroup": "Fm-3m (225)", "lattice_angstrom": [[5.0409, 0.0000, 0.0000], [2.5205, 4.3656, 0.0000], [2.5205, 1.4552, 4.1159]], "species": ["Sr", "Zn", "Zn", "Li"], "fractional_positions": [[0.5000, 0.5000, 0.5000], [0.2500, 0.2500, 0.2500], [0.7500, 0.7500, 0.7500], [0.0000, 0.0000, 0.0000]]}

***

{"formula": "SrLiZn4", "functional": "GGA-PBEsol", "state": "relaxed", "rho_g_cm3": 5.33, "spacegroup": "F-43m (216)", "lattice_angstrom": [[5.3949, 0.0000, 0.0000], [2.6974, 4.6721, 0.0000], [2.6974, 1.5574, 4.4049]], "species": ["Sr", "Zn", "Zn", "Zn", "Zn", "Li"], "fractional_positions": [[0.0000, 0.0000, 0.0000], [0.3771, 0.3771, 0.3771], [0.3771, 0.3771, 0.8688], [0.8688, 0.3771, 0.3771], [0.3771, 0.8688, 0.3771], [0.7500, 0.7500, 0.7500]]}

***

{"formula": "SrLi2Zn", "functional": "GGA-PBEsol", "state": "relaxed", "rho_g_cm3": 2.83, "spacegroup": "P4mm (99)", "lattice_angstrom": [[3.6816, 0.0000, 0.0000], [0.0000, 3.6816, 0.0000], [0.0000, 0.0000, 7.2372]], "species": ["Sr", "Zn", "Li", "Li"], "fractional_positions": [[0.5000, 0.5000, 0.5354], [0.0000, 0.0000, 0.8057], [0.5000, 0.5000, 0.9805], [0.0000, 0.0000, 0.1784]]}

***

{"formula": "SrLiZn2", "functional": "GGA-PBEsol", "state": "relaxed", "rho_g_cm3": 3.94, "relative_energy_mev_per_atom": 225.1, "spacegroup": "P4/mmm (123)", "lattice_angstrom": [[-2.2404, -1.6382, -3.0474], [0.6686, -4.3771, 1.8615], [-3.9760, 0.5175, 2.6448]], "species": ["Li", "Sr", "Zn", "Zn"], "fractional_positions": [[0.5000, 0.5000, 0.5000], [0.5000, 0.0000, 0.0000], [0.0000, 0.0000, 0.5000], [0.0000, 0.5000, 0.0000]]}

***

no.,spin magnetization (μB/atom),energy of formation from the pure elements (eV per atom)
1,0.0001,-0.018
2,0.0000,-0.167
3,0.0000,-0.033
4,0.0002,0.061